--- 1 ---
Compound: Cu3SiAu
Source: Alexandria via LeMat-Bulk
Functional: GGA-PBE
Structure: relaxed

The space group is Pm-3m (No. 221) and the conventional cell measures 4.724, 4.724 and 4.724 Å, with angles of 90.00, 90.00 and 90.00 degrees. The asymmetric unit holds Cu at (0.000, 0.000, 0.500), Si at (0.500, 0.500, 0.500) and Au at (0.000, 0.000, 0.000).

The total magnetization comes out at 0.000 μB/atom. Its crystal system is cubic. The calculated volume comes out at 105 Å³/f.u.


--- 2 ---
Compound: Cu3SiAu
Source: Alexandria via LeMat-Bulk
Functional: GGA-PBE
Structure: relaxed

The space group is Pm-3m (No. 221) and the conventional cell measures 4.370, 4.370 and 4.370 Å, with angles of 90.00, 90.00 and 90.00 degrees. The asymmetric unit holds Cu at (0.000, 0.000, 0.500), Si at (0.000, 0.000, 0.000) and Au at (0.500, 0.500, 0.500).

The total magnetization comes out at 0.000 μB/atom. Its crystal system is cubic. The calculated volume comes out at 83 Å³/f.u.


Which structure is the least stable? The one labeled 1.


--- 1 ---
Compound: Cu3SiAu
Source: Alexandria via LeMat-Bulk
Functional: GGA-PBE
Structure: relaxed

The space group is I-4m2 (No. 119) and the conventional cell measures 4.608, 4.608 and 15.919 Å, with angles of 90.00, 90.00 and 90.00 degrees. The asymmetric unit holds Cu at (0.000, 0.000, 0.195), Cu at (0.000, 0.249, 0.372), Si at (0.000, 0.000, 0.500), Si at (0.000, 0.500, 0.250) and Au at (0.000, 0.500, 0.565).

The total magnetization comes out at 0.000 μB/atom. Its crystal system is tetragonal. The calculated volume comes out at 85 Å³/f.u.


--- 2 ---
Compound: Cu3SiAu
Source: Alexandria via LeMat-Bulk
Functional: GGA-PBE
Structure: relaxed

The space group is Ama2 (No. 40) and the conventional cell measures 4.283, 13.708 and 4.970 Å, with angles of 90.00, 90.00 and 90.00 degrees. The asymmetric unit holds Cu at (0.250, 0.048, 0.000), Cu at (0.250, 0.228, 0.036), Cu at (0.250, 0.378, 0.730), Si at (0.250, 0.390, 0.265) and Au at (0.250, 0.149, 0.524).

The total magnetization comes out at 0.000 μB/atom. Its crystal system is orthorhombic. The calculated volume comes out at 73 Å³/f.u.


Which structure is the least stable? The one labeled 1.


--- 1 ---
Compound: CuSiAu4
Source: Alexandria via LeMat-Bulk
Functional: GGA-PBE
Structure: relaxed

The space group is F-43m (No. 216) and the conventional cell measures 7.728, 7.728 and 7.728 Å, with angles of 90.00, 90.00 and 90.00 degrees. The asymmetric unit holds Cu at (0.000, 0.000, 0.000), Si at (0.250, 0.250, 0.750) and Au at (0.125, 0.125, 0.375).

The total magnetization comes out at 0.000 μB/atom. Its crystal system is cubic. The calculated volume comes out at 115 Å³/f.u.


--- 2 ---
Compound: CuSiAu4
Source: Alexandria via LeMat-Bulk
Functional: GGA-PBE
Structure: relaxed

The space group is Cmmm (No. 65) and the conventional cell measures 6.054, 6.069 and 5.985 Å, with angles of 90.00, 90.00 and 90.00 degrees. The asymmetric unit holds Cu at (0.000, 0.000, 0.000), Si at (0.000, 0.500, 0.500) and Au at (0.250, 0.250, 0.254).

The total magnetization comes out at 0.000 μB/atom. Its crystal system is orthorhombic. The calculated volume comes out at 110 Å³/f.u.


Which structure is the least stable? The one labeled 1.


--- 1 ---
Compound: Cu6SiAu
Source: Alexandria via LeMat-Bulk
Functional: GGA-PBE
Structure: relaxed

The space group is Amm2 (No. 38) and the conventional cell measures 4.287, 5.263 and 9.134 Å, with angles of 90.00, 90.00 and 90.00 degrees. The asymmetric unit holds Cu at (0.000, 0.000, 0.000), Cu at (0.000, 0.241, 0.241), Cu at (0.500, 0.000, 0.330), Cu at (0.500, 0.247, 0.577), Si at (0.000, 0.000, 0.494) and Au at (0.500, 0.000, 0.827).

The total magnetization comes out at 0.000 μB/atom. Its crystal system is orthorhombic. The calculated volume comes out at 103 Å³/f.u.


--- 2 ---
Compound: Cu6SiAu
Source: Alexandria via LeMat-Bulk
Functional: GGA-PBE
Structure: relaxed

The space group is Amm2 (No. 38) and the conventional cell measures 3.681, 7.523 and 7.432 Å, with angles of 90.00, 90.00 and 90.00 degrees. The asymmetric unit holds Cu at (0.000, 0.000, 0.000), Cu at (0.000, 0.236, 0.752), Cu at (0.500, 0.000, 0.758), Cu at (0.500, 0.249, 0.007), Si at (0.000, 0.000, 0.520) and Au at (0.500, 0.000, 0.261).

The total magnetization comes out at 0.000 μB/atom. Its crystal system is orthorhombic. The calculated volume comes out at 103 Å³/f.u.


Which structure is the least stable? The one labeled 2.


--- 1 ---
Compound: Cu2SiAu8
Source: Alexandria via LeMat-Bulk
Functional: GGA-PBE
Structure: relaxed

The space group is C2/m (No. 12) and the conventional cell measures 9.833, 9.104 and 4.898 Å, with angles of 90.00, 108.85 and 90.00 degrees. The asymmetric unit holds Cu at (0.131, 0.000, 0.002), Si at (0.000, 0.000, 0.500), Au at (0.081, 0.232, 0.296), Au at (0.082, 0.500, 0.804) and Au at (0.233, 0.500, 0.403).

The total magnetization comes out at 0.000 μB/atom. Its crystal system is monoclinic. The calculated volume comes out at 207 Å³/f.u.


--- 2 ---
Compound: Cu2SiAu8
Source: Alexandria via LeMat-Bulk
Functional: GGA-PBE
Structure: relaxed

The space group is Cm (No. 8) and the conventional cell measures 7.074, 12.703 and 5.433 Å, with angles of 90.00, 127.90 and 90.00 degrees. The asymmetric unit holds Cu at (0.000, 0.191, 0.000), Si at (0.433, 0.000, 0.180), Au at (0.150, 0.000, 0.311), Au at (0.227, 0.138, 0.771), Au at (0.242, 0.373, 0.166), Au at (0.345, 0.500, 0.672) and Au at (0.490, 0.172, 0.495).

The total magnetization comes out at 0.000 μB/atom. Its crystal system is monoclinic. The calculated volume comes out at 193 Å³/f.u.


Which structure is the least stable? The one labeled 1.


--- 1 ---
Compound: CuSiAu3
Source: Alexandria via LeMat-Bulk
Functional: GGA-PBE
Structure: relaxed

The space group is Pm-3m (No. 221) and the conventional cell measures 4.760, 4.760 and 4.760 Å, with angles of 90.00, 90.00 and 90.00 degrees. The asymmetric unit holds Cu at (0.000, 0.000, 0.000), Si at (0.500, 0.500, 0.500) and Au at (0.000, 0.000, 0.500).

The total magnetization comes out at 0.000 μB/atom. Its crystal system is cubic. The calculated volume comes out at 108 Å³/f.u.


--- 2 ---
Compound: CuSiAu3
Source: Alexandria via LeMat-Bulk
Functional: GGA-PBE
Structure: relaxed

The space group is Pm-3m (No. 221) and the conventional cell measures 4.736, 4.736 and 4.736 Å, with angles of 90.00, 90.00 and 90.00 degrees. The asymmetric unit holds Cu at (0.000, 0.000, 0.000), Si at (0.500, 0.500, 0.500) and Au at (0.000, 0.500, 0.500).

The total magnetization comes out at 0.000 μB/atom. Its crystal system is cubic. The calculated volume comes out at 106 Å³/f.u.


Which structure is the least stable? The one labeled 1.


--- 1 ---
Compound: Cu5SiAu
Source: Alexandria via LeMat-Bulk
Functional: GGA-PBE
Structure: relaxed

The space group is Cmmm (No. 65) and the conventional cell measures 5.050, 7.257 and 5.407 Å, with angles of 90.00, 90.00 and 90.00 degrees. The asymmetric unit holds Cu at (0.000, 0.000, 0.000), Cu at (0.250, 0.250, 0.239), Si at (0.000, 0.500, 0.000) and Au at (0.000, 0.000, 0.500).

The total magnetization comes out at 0.000 μB/atom. Its crystal system is orthorhombic. The calculated volume comes out at 99 Å³/f.u.


--- 2 ---
Compound: Cu5SiAu
Source: Alexandria via LeMat-Bulk
Functional: GGA-PBE
Structure: relaxed

The space group is C2/c (No. 15) and the conventional cell measures 8.262, 4.607 and 9.884 Å, with angles of 90.00, 90.75 and 90.00 degrees. The asymmetric unit holds Cu at (0.000, 0.243, 0.250), Cu at (0.176, 0.013, 0.930), Cu at (0.246, 0.014, 0.675), Si at (0.000, 0.255, 0.750) and Au at (0.000, 0.500, 0.000).

The total magnetization comes out at 0.000 μB/atom. Its crystal system is monoclinic. The calculated volume comes out at 94 Å³/f.u.


Which structure is the least stable? The one labeled 1.


--- 1 ---
Compound: SmCuAu
Source: Alexandria via LeMat-Bulk
Functional: GGA-PBE
Structure: relaxed

The space group is I4mm (No. 107) and the conventional cell measures 3.711, 3.711 and 9.059 Å, with angles of 90.00, 90.00 and 90.00 degrees. The asymmetric unit holds Sm at (0.000, 0.000, 0.000), Cu at (0.000, 0.000, 0.672) and Au at (0.000, 0.000, 0.330).

The total magnetization comes out at 0.000 μB/atom. Its crystal system is tetragonal. The calculated volume comes out at 62 Å³/f.u.


--- 2 ---
Compound: SmCuAu
Source: Alexandria via LeMat-Bulk
Functional: GGA-PBE
Structure: relaxed

The space group is C2/m (No. 12) and the conventional cell measures 10.370, 4.421 and 7.053 Å, with angles of 90.00, 129.59 and 90.00 degrees. The asymmetric unit holds Sm at (0.045, 0.000, 0.292), Cu at (0.147, 0.500, 0.691) and Au at (0.178, 0.500, 0.126).

The total magnetization comes out at 0.000 μB/atom. Its crystal system is monoclinic. The calculated volume comes out at 62 Å³/f.u.


Which structure is the least stable? The one labeled 1.


--- 1 ---
Compound: SmCuAu
Source: Alexandria via LeMat-Bulk
Functional: GGA-PBE
Structure: relaxed

The space group is P-6m2 (No. 187) and the conventional cell measures 4.5262, 4.5262 and 3.5912 Å, with angles of 90.00, 90.00 and 120.00 degrees. The asymmetric unit holds Sm at (0.0000, 0.0000, 0.0000), Cu at (0.3333, 0.6667, 0.5000) and Au at (0.6667, 0.3333, 0.5000).

The total magnetization comes out at 0.000 μB/atom. Its crystal system is hexagonal. The calculated volume comes out at 64 Å³/f.u.


--- 2 ---
Compound: SmCuAu
Source: Alexandria via LeMat-Bulk
Functional: GGA-PBE
Structure: relaxed

The space group is F-43m (No. 216) and the conventional cell measures 6.481, 6.481 and 6.481 Å, with angles of 90.00, 90.00 and 90.00 degrees. The asymmetric unit holds Sm at (0.000, 0.000, 0.000), Cu at (0.250, 0.250, 0.750) and Au at (0.000, 0.000, 0.500).

The total magnetization comes out at 0.000 μB/atom. Its crystal system is cubic. The calculated volume comes out at 68 Å³/f.u.


Which structure is the least stable? The one labeled 2.


--- 1 ---
Compound: SmCuAu2
Source: Alexandria via LeMat-Bulk
Functional: GGA-PBE
Structure: relaxed

The space group is Pnma (No. 62) and the conventional cell measures 15.272, 7.583 and 5.438 Å, with angles of 90.00, 90.00 and 90.00 degrees. The asymmetric unit holds Sm at (0.107, 0.250, 0.240), Sm at (0.140, 0.750, 0.468), Cu at (0.069, 0.750, 0.971), Cu at (0.183, 0.250, 0.736), Au at (0.035, 0.056, 0.738) and Au at (0.215, 0.556, 0.949).

The total magnetization comes out at 0.000 μB/atom. Its crystal system is orthorhombic. The calculated volume comes out at 79 Å³/f.u.


--- 2 ---
Compound: SmCuAu2
Source: Alexandria via LeMat-Bulk
Functional: GGA-PBE
Structure: relaxed

The space group is R-3m (No. 166, hexagonal axes) and the conventional cell measures 4.5482, 4.5482 and 13.9304 Å, with angles of 90.00, 90.00 and 120.00 degrees. The asymmetric unit holds Sm at (0.0000, 0.0000, 0.0000), Cu at (0.0000, 0.0000, 0.5000) and Au at (0.0000, 0.0000, 0.2201).

The total magnetization comes out at 0.000 μB/atom. Its crystal system is trigonal. The calculated volume comes out at 83 Å³/f.u.


Which structure is the least stable? The one labeled 2.


--- 1 ---
Compound: SmZnCuAu
Source: Alexandria via LeMat-Bulk
Functional: GGA-PBE
Structure: relaxed

The space group is F-43m (No. 216) and the conventional cell measures 6.783, 6.783 and 6.783 Å, with angles of 90.00, 90.00 and 90.00 degrees. The asymmetric unit holds Sm at (0.000, 0.000, 0.000), Zn at (0.000, 0.000, 0.500), Cu at (0.250, 0.250, 0.250) and Au at (0.250, 0.250, 0.750).

The total magnetization comes out at 0.000 μB/atom. Its crystal system is cubic. The calculated volume comes out at 78 Å³/f.u.


--- 2 ---
Compound: SmZnCuAu
Source: Alexandria via LeMat-Bulk
Functional: GGA-PBE
Structure: relaxed

The space group is Cm (No. 8) and the conventional cell measures 7.710, 4.444 and 5.324 Å, with angles of 90.00, 118.92 and 90.00 degrees. The asymmetric unit holds Sm at (0.000, 0.000, 0.000), Zn at (0.477, 0.000, 0.430), Cu at (0.291, 0.500, 0.372) and Au at (0.214, 0.000, 0.644).

The total magnetization comes out at 0.000 μB/atom. Its crystal system is monoclinic. The calculated volume comes out at 80 Å³/f.u.


Which structure is the least stable? The one labeled 1.


--- 1 ---
Compound: Cu3SnAu
Source: Alexandria via LeMat-Bulk
Functional: GGA-PBE
Structure: relaxed

The space group is Pm-3m (No. 221) and the conventional cell measures 4.775, 4.775 and 4.775 Å, with angles of 90.00, 90.00 and 90.00 degrees. The asymmetric unit holds Cu at (0.000, 0.000, 0.500), Sn at (0.500, 0.500, 0.500) and Au at (0.000, 0.000, 0.000).

The total magnetization comes out at 0.000 μB/atom. Its crystal system is cubic. The calculated volume comes out at 109 Å³/f.u.


--- 2 ---
Compound: Cu3SnAu
Source: Alexandria via LeMat-Bulk
Functional: GGA-PBE
Structure: relaxed

The space group is P2_13 (No. 198) and the conventional cell measures 6.888, 6.888 and 6.888 Å, with angles of 90.00, 90.00 and 90.00 degrees. The asymmetric unit holds Cu at (0.109, 0.118, 0.854), Sn at (0.245, 0.745, 0.755) and Au at (0.015, 0.985, 0.485).

The total magnetization comes out at 0.000 μB/atom. Its crystal system is cubic. The calculated volume comes out at 82 Å³/f.u.


Which structure is the least stable? The one labeled 1.